No. 1
! NpTi2Sn (PBE-GGA, optimized geometry); values from VASP
! **Formation enthalpy at 0 K**: 10 meV per atom
! **Energy relative to the lowest polymorph listed for this composition**: 0.067 eV/atom
&SYSTEM
  ibrav = 0, nat = 4, ntyp = 3
/
ATOMIC_SPECIES
Np 237.00 Np.upf
Sn 118.71 Sn.upf
Ti 47.87 Ti.upf
CELL_PARAMETERS angstrom
4.811 0.000 0.000
2.405 4.166 0.000
2.405 1.389 3.928
ATOMIC_POSITIONS crystal
Np 0.000 0.000 0.000
Sn 0.500 0.500 0.500
Ti 0.250 0.250 0.250
Ti 0.750 0.750 0.750



No. 2
! Rb3AgTe2O9 (PBE-GGA, optimized geometry); values from VASP
! **Formation energy from raw total energies**: -13.6 eV per formula unit
&SYSTEM
  ibrav = 0, nat = 15, ntyp = 4
/
ATOMIC_SPECIES
Rb 85.47 Rb.upf
Ag 107.87 Ag.upf
Te 127.60 Te.upf
O 16.00 O.upf
CELL_PARAMETERS angstrom
5.961 0.000 0.000
-2.980 5.162 0.000
0.000 0.000 7.445
ATOMIC_POSITIONS crystal
Rb 0.333 0.667 0.654
Rb 0.000 0.000 0.000
Rb 0.667 0.333 0.346
Ag 0.000 0.000 0.500
Te 0.333 0.667 0.161
Te 0.667 0.333 0.839
O 0.820 0.180 0.694
O 0.820 0.641 0.694
O 0.359 0.180 0.694
O 0.641 0.820 0.306
O 0.180 0.359 0.306
O 0.180 0.820 0.306
O 0.500 0.000 0.000
O 0.000 0.500 0.000
O 0.500 0.500 0.000



No. 3
! MgAg6Pd3 (PBE-GGA, optimized geometry); values from VASP
! **Formation enthalpy at 0 K**: -20 meV per atom
&SYSTEM
  ibrav = 0, nat = 20, ntyp = 3
/
ATOMIC_SPECIES
Mg 24.30 Mg.upf
Ag 107.87 Ag.upf
Pd 106.42 Pd.upf
CELL_PARAMETERS angstrom
5.080 0.000 0.000
0.000 8.833 -1.311
0.000 -3.249 8.318
ATOMIC_POSITIONS crystal
Mg 0.167 0.217 0.783
Mg 0.667 0.783 0.217
Ag 0.033 0.707 0.624
Ag 0.533 0.624 0.707
Ag 0.353 0.554 0.964
Ag 0.853 0.964 0.554
Ag 0.413 0.945 0.055
Ag 0.652 0.302 0.698
Ag 0.152 0.698 0.302
Ag 0.913 0.055 0.945
Ag 0.353 0.036 0.446
Ag 0.853 0.446 0.036
Ag 0.033 0.376 0.293
Ag 0.533 0.293 0.376
Pd 0.434 0.947 0.732
Pd 0.934 0.732 0.947
Pd 0.114 0.388 0.612
Pd 0.614 0.612 0.388
Pd 0.934 0.053 0.268
Pd 0.434 0.268 0.053



No. 4
! BeRu2Pb (PBE-GGA, optimized geometry); values from VASP
! **Formation enthalpy at 0 K**: 625 meV per atom
! **Energy relative to the lowest polymorph listed for this composition**: 0.334 eV/atom
&SYSTEM
  ibrav = 0, nat = 4, ntyp = 3
/
ATOMIC_SPECIES
Pb 207.20 Pb.upf
Ru 101.07 Ru.upf
Be 9.01 Be.upf
CELL_PARAMETERS angstrom
-5.006 1.221 -0.032
0.920 -4.810 1.604
-0.808 -0.023 2.841
ATOMIC_POSITIONS crystal
Pb 0.000 0.500 0.500
Ru 0.000 0.000 0.000
Ru 0.500 0.500 0.000
Be 0.500 0.000 0.500



No. 5
! NdDy3B (PBE-GGA, optimized geometry); values from VASP
! **Formation enthalpy at 0 K**: 54 meV per atom
&SYSTEM
  ibrav = 0, nat = 5, ntyp = 3
/
ATOMIC_SPECIES
B 10.81 B.upf
Nd 144.24 Nd.upf
Dy 162.50 Dy.upf
CELL_PARAMETERS angstrom
-3.173 -0.937 -3.987
3.092 -3.856 -1.555
-2.686 -3.332 2.921
ATOMIC_POSITIONS crystal
B 0.000 0.000 0.000
Nd 0.500 0.500 0.500
Dy 0.000 0.500 0.000
Dy 0.000 0.000 0.500
Dy 0.500 0.000 0.000



No. 6
! PmZnPbAu (PBE-GGA, optimized geometry); values from VASP
! **Formation enthalpy at 0 K**: -421 meV per atom
&SYSTEM
  ibrav = 0, nat = 4, ntyp = 4
/
ATOMIC_SPECIES
Pb 207.20 Pb.upf
Zn 65.41 Zn.upf
Au 196.97 Au.upf
Pm 145.00 Pm.upf
CELL_PARAMETERS angstrom
-0.358 0.046 5.089
-4.140 -1.917 2.283
0.323 -4.366 2.619
ATOMIC_POSITIONS crystal
Pb 0.250 0.250 0.250
Zn 0.000 0.000 0.000
Au 0.500 0.500 0.500
Pm 0.750 0.750 0.750



Result set for E: -8.174 -4.682 -3.448 -5.872 -4.996 -3.674 eV/atom, one per record in the order listed.